This record from Alexandria via LeMat-Bulk describes a relaxed PuFe2PbO8 crystal. The functional is PBE+U.

Lattice parameters (Å, degrees): 5.4481 5.4481 7.3348 90.00 90.00 120.00
Each line ends with the local moment (μB).
Positions (direct):
Pu: 0.0000 0.0000 0.5000  2.08
Fe: 0.6667 0.3333 0.2445  4.07
Fe: 0.3333 0.6667 0.7555  4.07
Pb: 0.0000 0.0000 0.0000  0.02
O: 0.3333 0.6667 0.9987  -0.10
O: 0.3108 0.2629 0.3292  -0.02
O: 0.7371 0.0479 0.3292  -0.02
O: 0.6667 0.3333 0.0013  -0.10
O: 0.2629 0.9521 0.6708  -0.02
O: 0.6892 0.7371 0.6708  -0.02
O: 0.0479 0.3108 0.6708  -0.02
O: 0.9521 0.6892 0.3292  -0.02

As for the total magnetization: 10.0 μB/f.u. The space group is P-3. The calculation puts the energy at -7.130 eV per atom. The calculation puts the density of states at the Fermi level at 8.750 states/eV/cell.